# 1
Entry from Alexandria: crystalline MoOsS3 at its relaxed geometry (PBE).

energy relative to the lowest polymorph listed for this composition: 0 meV/atom
V: 19.53 Å³ per atom
DOS(E_F): 5.42 states/eV/f.u.
raw formation energy: 1003 meV/atom

Geometry as CIF:
```
data_MoOsS3
_cell_length_a 4.605
_cell_length_b 4.605
_cell_length_c 4.605
_cell_angle_alpha 90.00
_cell_angle_beta 90.00
_cell_angle_gamma 90.00
_symmetry_space_group_name_H-M 'P m -3 m'
_symmetry_Int_Tables_number 221
_symmetry_space_group_name_Hall '-P 4 2 3'
loop_
_atom_site_label
_atom_site_fract_x
_atom_site_fract_y
_atom_site_fract_z
_atom_site_occupancy
Mo1 0.000 0.000 0.000 1
Os1 0.500 0.500 0.500 1
S1 0.000 0.500 0.500 1
```

***

# 2
Entry from Alexandria: crystalline SmGdZnCu at its relaxed geometry (PBE).

V: 22.90 Å³ per atom
DOS(E_F): 3.43 states/eV/f.u.
energy of formation from the pure elements: -1.017 eV/f.u.

Geometry as CIF:
```
data_SmGdZnCu
_cell_length_a 7.156
_cell_length_b 7.156
_cell_length_c 7.156
_cell_angle_alpha 90.00
_cell_angle_beta 90.00
_cell_angle_gamma 90.00
_symmetry_space_group_name_H-M 'F -4 3 m'
_symmetry_Int_Tables_number 216
_symmetry_space_group_name_Hall 'F -4 2 3'
loop_
_atom_site_label
_atom_site_fract_x
_atom_site_fract_y
_atom_site_fract_z
_atom_site_occupancy
Sm1 0.000 0.000 0.000 1
Gd1 0.000 0.000 0.500 1
Zn1 0.250 0.250 0.750 1
Cu1 0.250 0.250 0.250 1
```

***

# 3
Entry from Alexandria: crystalline Dy4InTe at its relaxed geometry (PBE).

V: 32.74 Å³ per atom
DOS(E_F): 7.29 states/eV/f.u.
raw formation energy: -300 meV/atom

Geometry as CIF:
```
data_Dy4InTe
_cell_length_a 6.156
_cell_length_b 8.374
_cell_length_c 8.031
_cell_angle_alpha 90.00
_cell_angle_beta 108.37
_cell_angle_gamma 90.00
_symmetry_space_group_name_H-M 'P 1 21/m 1'
_symmetry_Int_Tables_number 11
_symmetry_space_group_name_Hall '-P 2yb'
loop_
_atom_site_label
_atom_site_fract_x
_atom_site_fract_y
_atom_site_fract_z
_atom_site_occupancy
Dy1 0.037 0.045 0.252 1
Dy2 0.361 0.250 0.020 1
Dy3 0.443 0.750 0.494 1
In1 0.198 0.750 0.073 1
Te1 0.099 0.250 0.584 1
```

***

# 4
Entry from Alexandria: crystalline HoZn2Hg at its relaxed geometry (PBE).

energy relative to the lowest polymorph listed for this composition: 0 meV/atom
V: 20.63 Å³ per atom
DOS(E_F): 2.09 states/eV/f.u.
energy of formation from the pure elements: -1.148 eV/f.u.

Geometry as CIF:
```
data_HoZn2Hg
_cell_length_a 3.581
_cell_length_b 20.413
_cell_length_c 4.516
_cell_angle_alpha 90.00
_cell_angle_beta 90.00
_cell_angle_gamma 90.00
_symmetry_space_group_name_H-M 'C m c m'
_symmetry_Int_Tables_number 63
_symmetry_space_group_name_Hall '-C 2c 2'
loop_
_atom_site_label
_atom_site_fract_x
_atom_site_fract_y
_atom_site_fract_z
_atom_site_occupancy
Ho1 0.000 0.095 0.250 1
Zn1 0.000 0.265 0.750 1
Zn2 0.000 0.473 0.250 1
Hg1 0.000 0.341 0.250 1
```

***

Q: What is the formula in the first record?
A: MoOsS3

***

Q: Look up the DOS(E_F) of the second one.
A: 3.43 states/eV/f.u.

***

Q: Look up the V of the third one.
A: 32.74 Å³ per atom